Entry 1:
The following is a DFT calculation (GGA-PBE) of a relaxed GaFe3Cu crystal.

Output
- Excess energy over the best structure of this formula in the dataset: 4.33 eV per formula unit

a b c (Å): 4.3914 4.3914 4.3914
angles (deg): 90.00 90.00 90.00
Last column: nearest neighbours and their distance in Å.
Space group Pm-3m (No. 221)
Symmetry-distinct sites (fractional):
Ga  0.0000  0.0000  0.0000 x1  12 Fe 3.11
Fe  0.0000  0.5000  0.5000 x3  2 Cu 2.20
Cu  0.5000  0.5000  0.5000 x1  6 Fe 2.20


Entry 2:
The following is a DFT calculation (GGA-PBE) of a relaxed GaFeCu2 crystal.

a b c (Å): 3.6072 3.6072 3.8167
angles (deg): 90.00 90.00 90.00
Last column: nearest neighbours and their distance in Å.
Space group P4/mmm (No. 123)
Symmetry-distinct sites (fractional):
Ga  0.0000  0.0000  0.0000 x1  4 Fe 2.55, 8 Cu 2.63
Fe  0.5000  0.5000  0.0000 x1  4 Ga 2.55, 8 Cu 2.63
Cu  0.0000  0.5000  0.5000 x2  4 Cu 2.55, 4 Fe 2.63, 4 Ga 2.63


Entry 3:
The following is a DFT calculation (GGA-PBE) of a relaxed GaFe2Cu2 crystal.

a b c (Å): 6.1045 6.1045 3.6249
angles (deg): 90.00 90.00 90.00
Last column: nearest neighbours and their distance in Å.
Space group P4/mbm (No. 127)
Symmetry-distinct sites (fractional):
Ga  0.0000  0.0000  0.0000 x2  4 Fe 2.39
Fe  0.1307  0.3693  0.0000 x4  1 Fe 2.26, 2 Ga 2.39
Cu  0.1589  0.6589  0.5000 x4  6 Fe 2.54-2.57, 1 Cu 2.74


Entry 4:
The following is a DFT calculation (GGA-PBE) of a relaxed Ga2FeCu crystal.

a b c (Å): 6.5757 6.5757 5.1584
angles (deg): 90.00 90.00 90.00
Last column: nearest neighbours and their distance in Å.
Space group I-42d (No. 122)
Symmetry-distinct sites (fractional):
Ga  0.2447  0.7500  0.1250 x8  2 Cu 2.39, 2 Fe 2.44, 2 Ga 2.58
Fe  0.0000  0.0000  0.5000 x4  4 Ga 2.44, 2 Cu 2.58
Cu  0.0000  0.0000  0.0000 x4  4 Ga 2.39, 2 Fe 2.58


Entry 5:
The following is a DFT calculation (GGA-PBE) of a relaxed Ga3FeCu crystal.

Output
- Excess energy over the best structure of this formula in the dataset: 0.00 eV per formula unit

a b c (Å): 4.5333 4.5333 4.5333
angles (deg): 90.00 90.00 90.00
Last column: nearest neighbours and their distance in Å.
Space group Pm-3m (No. 221)
Symmetry-distinct sites (fractional):
Ga  0.0000  0.0000  0.5000 x3  2 Fe 2.27
Fe  0.0000  0.0000  0.0000 x1  6 Ga 2.27
Cu  0.5000  0.5000  0.5000 x1  12 Ga 3.21


Entry 6:
The following is a DFT calculation (GGA-PBE) of a relaxed Ga2FeCu crystal.

a b c (Å): 2.7641 2.7641 24.8242
angles (deg): 90.00 90.00 120.00
Last column: nearest neighbours and their distance in Å.
Space group R-3m (No. 166, hexagonal axes)
Symmetry-distinct sites (fractional):
Ga  0.0000  0.0000  0.2484 x6  3 Fe 2.58, 3 Cu 2.64, 6 Ga 2.76
Fe  0.0000  0.0000  0.5000 x3  6 Ga 2.58, 6 Fe 2.76
Cu  0.0000  0.0000  0.0000 x3  6 Ga 2.64, 6 Cu 2.76


Entry 7:
The following is a DFT calculation (GGA-PBE) of a relaxed Ga2FeCu2 crystal.

Output
- Excess energy over the best structure of this formula in the dataset: 0.00 eV per formula unit

a b c (Å): 6.9867 6.9867 2.8015
angles (deg): 90.00 90.00 90.00
Last column: nearest neighbours and their distance in Å.
Space group P4/mbm (No. 127)
Symmetry-distinct sites (fractional):
Ga  0.1586  0.3414  0.0000 x4  6 Cu 2.43-2.52, 2 Fe 2.63
Fe  0.0000  0.0000  0.0000 x2  4 Ga 2.63, 2 Fe 2.80
Cu  0.1403  0.6403  0.5000 x4  6 Ga 2.43-2.52


Entry 8:
The following is a DFT calculation (GGA-PBE) of a relaxed GaFeCu crystal.

a b c (Å): 2.6141 4.2642 7.1748
angles (deg): 90.00 90.00 90.00
Last column: nearest neighbours and their distance in Å.
Space group Pmmn (No. 59, origin choice 2)
Symmetry-distinct sites (fractional):
Ga  0.2500  0.2500  0.2488 x2  4 Cu 2.52-2.61, 4 Fe 2.53-2.56, 2 Ga 2.61
Fe  0.2500  0.7500  0.0581 x2  4 Ga 2.53-2.56, 6 Fe 2.61-2.64, 1 Cu 2.72
Cu  0.2500  0.7500  0.4368 x2  4 Ga 2.52-2.61, 6 Cu 2.61-2.66, 1 Fe 2.72


Entry 9:
The following is a DFT calculation (GGA-PBE) of a relaxed GaFeCu crystal.

a b c (Å): 4.1253 4.1253 2.6323
angles (deg): 90.00 90.00 120.00
Last column: nearest neighbours and their distance in Å.
Space group P3m1 (No. 156)
Symmetry-distinct sites (fractional):
Ga  0.0000  0.0000  0.0000 x1  3 Cu 2.39, 2 Ga 2.63, 3 Fe 2.67
Fe  0.6667  0.3333  0.4586 x1  2 Fe 2.63, 6 Ga 2.67-2.78, 6 Cu 2.67-2.77
Cu  0.3333  0.6667  0.9193 x1  3 Ga 2.39, 2 Cu 2.63, 3 Fe 2.67


Entry 10:
The following is a DFT calculation (GGA-PBE) of a relaxed Ga2FeCu crystal.

a b c (Å): 4.0178 4.0178 3.2403
angles (deg): 90.00 90.00 90.00
Last column: nearest neighbours and their distance in Å.
Space group P4/mmm (No. 123)
Symmetry-distinct sites (fractional):
Ga  0.0000  0.5000  0.0000 x2  4 Cu 2.58, 4 Fe 2.58, 4 Ga 2.84
Fe  0.0000  0.0000  0.5000 x1  8 Ga 2.58, 4 Cu 2.84
Cu  0.5000  0.5000  0.5000 x1  8 Ga 2.58, 4 Fe 2.84


Entry 11:
The following is a DFT calculation (GGA-PBE) of a relaxed GaFeCu2 crystal.

a b c (Å): 5.8584 5.8584 5.8584
angles (deg): 90.00 90.00 90.00
Last column: nearest neighbours and their distance in Å.
Space group F-43m (No. 216)
Symmetry-distinct sites (fractional):
Ga  0.0000  0.0000  0.0000 x4  4 Fe 2.54, 4 Cu 2.54
Fe  0.2500  0.2500  0.7500 x4  4 Cu 2.54, 4 Ga 2.54
Cu  0.0000  0.0000  0.5000 x4  4 Fe 2.54, 4 Cu 2.54
Cu  0.2500  0.2500  0.2500 x4  4 Cu 2.54, 4 Ga 2.54


Entry 12:
The following is a DFT calculation (GGA-PBE) of a relaxed Ga2Fe5Cu crystal.

a b c (Å): 2.5231 8.1394 9.7891
angles (deg): 90.00 90.00 90.00
Last column: nearest neighbours and their distance in Å.
Space group Immm (No. 71)
Symmetry-distinct sites (fractional):
Ga  0.0000  0.0000  0.2430 x4  7 Fe 2.46-2.63, 2 Ga 2.52, 2 Cu 2.69
Fe  0.0000  0.0000  0.5000 x2  2 Ga 2.52, 10 Fe 2.52-2.58
Fe  0.0000  0.2665  0.1241 x8  5 Fe 2.43-2.58, 3 Ga 2.46-2.63
Cu  0.0000  0.5000  0.5000 x2  2 Cu 2.52, 4 Ga 2.69, 8 Fe 2.79


| no. | formation enthalpy at 0 K (meV per atom) | M_tot (μB/f.u.) |
| --- | --- | --- |
| 1 | 1019 | 8.8 |
| 2 | -31 | 1.9 |
| 3 | 264 | 3.9 |
| 4 | 302 | 1.7 |
| 5 | 296 | 0.4 |
| 6 | -6 | 2.2 |
| 7 | 100 | 2.2 |
| 8 | 65 | 2.3 |
| 9 | 15 | 2.3 |
| 10 | -55 | 1.7 |
| 11 | 33 | 2.4 |
| 12 | 59 | 11.6 |